# Ta3FeRu2 | the Alexandria database | PBE | relaxed
data_Ta3FeRu2
_chemical_formula_sum 'Ta3 Fe1 Ru2'
_space_group_name_H-M_alt 'P 4/m m m'
_space_group_IT_number 123
_space_group_name_Hall '-P 4 2'
_cell_length_a 3.0949
_cell_length_b 3.0949
_cell_length_c 9.7407
_cell_angle_alpha 90.00
_cell_angle_beta 90.00
_cell_angle_gamma 90.00
loop_
_atom_site_label
_atom_site_fract_x
_atom_site_fract_y
_atom_site_fract_z
Ta1 0.0000 0.0000 0.0000
Ta2 0.0000 0.0000 0.3442
Fe1 0.5000 0.5000 0.5000
Ru1 0.5000 0.5000 0.1700
# **Size of the total moment**: 1.39 μB/f.u.
# **D(E_F)**: 0.839 states/eV per atom
# **Energy above the lowest structure with this stoichiometry**: 3.7 meV/atom
# **Total DFT energy (no corrections)**: -64.2 eV for the cell shown
# **Formation energy from the elements**: -26.2 kJ per mole of atoms